Entry 1:
This record from the Alexandria database describes a relaxed structure of ZnCoSb2Te. The functional is PBE. Values from VASP.

The structure in Quantum ESPRESSO input format:
```
&SYSTEM
  ibrav = 0, nat = 5, ntyp = 4
/
ATOMIC_SPECIES
Zn 65.41 Zn.upf
Sb 121.76 Sb.upf
Te 127.60 Te.upf
Co 58.93 Co.upf
ATOMIC_POSITIONS angstrom
Zn -0.8151 -1.4644 4.0616
Sb 1.1993 -1.8149 0.9954
Sb -2.0694 -1.0252 0.6241
Te 0.0550 1.3757 2.4421
Co 0.0000 0.0000 0.0000
CELL_PARAMETERS angstrom
-4.1388 -2.0504 1.2482
2.3987 -3.6298 1.9907
0.1099 2.7514 4.8843
```

Output
- VASP energy (eV/cell) = -17.829
- energy relative to the elements, uncorrected (kJ per mole of atoms) = 37
- relative energy among the computed polymorphs (eV/f.u.) = 0.00
- space group = P4/mmm, No. 123

=====

Entry 2:
This record from the Alexandria database describes a relaxed structure of Li3AlAu6. The functional is PBE. Values from VASP.

The structure in Quantum ESPRESSO input format:
```
&SYSTEM
  ibrav = 0, nat = 20, ntyp = 3
/
ATOMIC_SPECIES
Li 6.94 Li.upf
Au 196.97 Au.upf
Al 26.98 Al.upf
ATOMIC_POSITIONS angstrom
Li -2.8481 -1.5721 -2.0677
Li -2.0668 -3.7419 1.2811
Li -3.2393 -4.3548 -1.3972
Li -5.4670 -3.1610 2.6197
Li -4.6857 -5.3307 5.9685
Li -4.2945 -2.5480 5.2980
Au -6.2686 -0.9489 4.0859
Au -5.1015 -0.4044 6.7731
Au -2.4323 -6.4985 -2.8724
Au -3.0666 -1.7214 3.1013
Au -3.3214 -4.5378 3.5262
Au -5.9177 -5.7999 3.3986
Au -1.2652 -5.9540 -0.1852
Au -6.7919 -3.6174 4.9951
Au -4.4672 -5.1814 0.7995
Au -1.6161 -1.1029 0.5021
Au -4.2124 -2.3651 0.3746
Au -0.7419 -3.2855 -1.0943
Al -2.5219 -6.6730 2.0646
Al -5.0120 -0.2299 1.8362
CELL_PARAMETERS angstrom
-4.0604 0.0264 -2.2597
1.3710 -7.0632 -2.5460
-4.8444 0.1339 8.7065
```

Output
- VASP energy (eV/cell) = -67.218
- energy of formation from the pure elements (eV/f.u.) = -4.5
- space group = P2_1/m, No. 11

=====

Entry 3:
This record from the Alexandria database describes a relaxed structure of Be2Cu2Si. The functional is PBE. Values from VASP.

The structure in Quantum ESPRESSO input format:
```
&SYSTEM
  ibrav = 0, nat = 10, ntyp = 3
/
ATOMIC_SPECIES
Be 9.01 Be.upf
Si 28.09 Si.upf
Cu 63.55 Cu.upf
ATOMIC_POSITIONS angstrom
Be -0.1629 -3.6679 1.5947
Be 2.4721 -5.5694 2.6186
Be 1.9850 -1.1917 0.6659
Be 4.6199 -3.0932 1.6899
Si 0.0000 0.0000 0.0000
Si 2.2285 -3.3805 1.6423
Cu 0.6657 -4.4949 3.5867
Cu 3.9302 -4.1056 3.6531
Cu 0.3366 -1.5068 2.2541
Cu 3.6011 -1.1176 2.3205
CELL_PARAMETERS angstrom
-1.5186 -5.5263 2.3102
5.9757 -1.2348 0.9744
-0.1903 1.1486 2.6226
```

Output
- VASP energy (eV/cell) = -40.532
- energy relative to the elements, uncorrected (kJ per mole of atoms) = 15
- relative energy among the computed polymorphs (eV/f.u.) = 0.11
- space group = P4/mbm, No. 127